(1)
A relaxed NbCuTe2Os crystal. Source: Alexandria via LeMat-Bulk, functional PBE.

Cell lengths 4.9011, 4.9011, 4.5313 Å; angles 90.00, 90.00, 90.00 degrees
Last column: nearest neighbours and their distance in Å.
Element x y z (fractional)
Nb 0.0000 0.0000 0.0000  8 Te 3.34, 4 Os 3.47
Cu 0.5000 0.5000 0.5000  2 Os 2.27, 4 Te 2.45
Te 0.0000 0.5000 0.5000  2 Cu 2.45
Te 0.5000 0.0000 0.5000  2 Cu 2.45
Os 0.5000 0.5000 0.0000  2 Cu 2.27

Summary:
The formation energy from raw total energies is 1.33 eV/atom. The uncorrected energy is -5.005 eV per atom. The calculation puts the mass density at 9.18 Mg/m³.

=====

(2)
A relaxed Er6InGe2Se3 crystal. Source: Alexandria via LeMat-Bulk, functional PBE.

Cell lengths 9.3447, 9.3447, 8.3466 Å; angles 106.61, 106.61, 25.36 degrees
Last column: nearest neighbours and their distance in Å.
Element x y z (fractional)
Er 0.0009 0.0009 0.2359  3 Se 2.84-2.90, 1 Ge 2.89, 2 In 3.01
Er 0.3284 0.3284 0.4116  3 Se 2.82-2.98, 2 Ge 2.87, 1 In 3.00
Er 0.3283 0.3283 0.9323  3 Ge 2.87-2.88, 3 Se 3.00-3.01
Er 0.6717 0.6717 0.0677  3 Ge 2.87-2.88, 3 Se 3.00-3.01
Er 0.6716 0.6716 0.5884  3 Se 2.82-2.98, 2 Ge 2.87, 1 In 3.00
Er 0.9991 0.9991 0.7641  3 Se 2.84-2.90, 1 Ge 2.89, 2 In 3.01
In 0.5000 0.5000 0.5000  6 Er 3.00-3.01
Ge 0.1630 0.1630 0.8227  6 Er 2.87-2.89
Ge 0.8370 0.8370 0.1773  6 Er 2.87-2.89
Se 0.1670 0.1670 0.3260  6 Er 2.82-3.00
Se 0.5000 0.5000 0.0000  6 Er 2.84-3.01
Se 0.8330 0.8330 0.6740  6 Er 2.82-3.00

Summary:
The formation energy from raw total energies is -1.22 eV/atom. The uncorrected energy is -5.368 eV per atom. The calculation puts the mass density at 8.35 Mg/m³.

=====

(3)
A relaxed TaGaNi3 crystal. Source: Alexandria via LeMat-Bulk, functional PBE.

Cell lengths 7.0230, 7.0230, 4.4336 Å; angles 90.00, 90.00, 140.97 degrees
Last column: nearest neighbours and their distance in Å.
Element x y z (fractional)
Ta 0.1949 0.8051 0.7500  6 Ni 2.49-2.62
Ta 0.8051 0.1949 0.2500  6 Ni 2.49-2.62
Ga 0.4294 0.5706 0.2500  8 Ni 2.66-2.76, 2 Ta 2.87, 2 Ga 2.90
Ga 0.5706 0.4294 0.7500  8 Ni 2.66-2.76, 2 Ta 2.87, 2 Ga 2.90
Ni 0.0000 0.0000 0.0000  6 Ni 2.22-2.45
Ni 0.0000 0.0000 0.5000  6 Ni 2.22-2.45
Ni 0.1137 0.3907 0.7500  4 Ni 2.33-2.45, 1 Ta 2.49
Ni 0.3907 0.1137 0.2500  4 Ni 2.33-2.45, 1 Ta 2.49
Ni 0.6093 0.8863 0.7500  4 Ni 2.33-2.45, 1 Ta 2.49
Ni 0.8863 0.6093 0.2500  4 Ni 2.33-2.45, 1 Ta 2.49

Summary:
The value obtained for the energy above the lowest structure with this stoichiometry is 0.0 meV/atom. The uncorrected energy is -6.529 eV per atom. The calculation puts the mass density at 10.29 Mg/m³.

=====

(4)
A relaxed Nd3Ho4Tm5 crystal. Source: Alexandria via LeMat-Bulk, functional PBE.

Cell lengths 6.1406, 7.0938, 8.6856 Å; angles 89.96, 89.85, 89.83 degrees
Last column: nearest neighbours and their distance in Å.
Element x y z (fractional)
Nd 0.0000 0.0000 0.0000  8 Tm 3.54-3.56, 2 Ho 3.55, 2 Nd 3.56
Nd 0.1668 0.2506 0.3339  5 Tm 3.53-3.56, 6 Ho 3.54-3.56, 1 Nd 3.56
Nd 0.8332 0.7494 0.6661  5 Tm 3.53-3.56, 6 Ho 3.54-3.56, 1 Nd 3.56
Ho 0.1691 0.7490 0.3328  3 Ho 3.52-3.56, 5 Tm 3.52-3.57, 4 Nd 3.54-3.56
Ho 0.3332 0.4998 0.6684  4 Ho 3.52-3.57, 5 Tm 3.53-3.55, 3 Nd 3.54-3.56
Ho 0.6667 0.5002 0.3316  4 Ho 3.52-3.57, 5 Tm 3.53-3.55, 3 Nd 3.54-3.56
Ho 0.8309 0.2510 0.6672  3 Ho 3.52-3.56, 5 Tm 3.52-3.57, 4 Nd 3.54-3.56
Tm 0.0000 0.5000 0.0000  4 Ho 3.53-3.55, 4 Tm 3.54, 4 Nd 3.55
Tm 0.3352 0.0002 0.6680  5 Ho 3.53-3.57, 4 Nd 3.53-3.56, 3 Tm 3.54-3.55
Tm 0.4990 0.7490 0.0001  3 Ho 3.52-3.54, 6 Tm 3.53-3.56, 3 Nd 3.54-3.56
Tm 0.5010 0.2510 0.9999  3 Ho 3.52-3.54, 6 Tm 3.53-3.56, 3 Nd 3.54-3.56
Tm 0.6648 0.9998 0.3320  5 Ho 3.53-3.57, 4 Nd 3.53-3.56, 3 Tm 3.54-3.55

Summary:
The value obtained for the energy above the lowest structure with this stoichiometry is 0.0 meV/atom. The uncorrected energy is -4.559 eV per atom. The calculation puts the mass density at 8.50 Mg/m³.

=====

(5)
A relaxed NdDy2Mg crystal. Source: Alexandria via LeMat-Bulk, functional PBE.

Cell lengths 9.8977, 9.8977, 9.8977 Å; angles 149.87, 149.87, 43.13 degrees
Last column: nearest neighbours and their distance in Å.
Element x y z (fractional)
Nd 0.1314 0.1314 0.0000  4 Mg 3.37, 8 Dy 3.53-3.64
Nd 0.8686 0.8686 0.0000  4 Mg 3.37, 8 Dy 3.53-3.64
Dy 0.0000 0.5000 0.5000  4 Nd 3.53, 8 Dy 3.57-3.64
Dy 0.3653 0.3653 0.0000  4 Mg 3.33, 4 Dy 3.57, 4 Nd 3.64
Dy 0.5000 0.0000 0.5000  4 Nd 3.53, 8 Dy 3.57-3.64
Dy 0.6347 0.6347 0.0000  4 Mg 3.33, 4 Dy 3.57, 4 Nd 3.64
Mg 0.2500 0.7500 0.5000  4 Dy 3.33, 4 Nd 3.37, 4 Mg 3.64
Mg 0.7500 0.2500 0.5000  4 Dy 3.33, 4 Nd 3.37, 4 Mg 3.64

Summary:
The value obtained for the energy above the lowest structure with this stoichiometry is 0.0 meV/atom. The uncorrected energy is -3.922 eV per atom. The calculation puts the mass density at 6.73 Mg/m³.

=====

(6)
A relaxed CdCo2Tc crystal. Source: Alexandria via LeMat-Bulk, functional PBE.

Cell lengths 2.7188, 2.7188, 7.5744 Å; angles 90.00, 90.00, 90.00 degrees
Last column: nearest neighbours and their distance in Å.
Element x y z (fractional)
Cd 0.0000 0.0000 0.0000  4 Cd 2.72, 4 Co 2.82, 4 Tc 3.00
Co 0.0000 0.0000 0.4740  8 Co 2.45-2.72, 4 Tc 2.56
Co 0.5000 0.5000 0.2731  8 Co 2.45-2.72
Tc 0.5000 0.5000 0.6965  4 Co 2.56, 4 Tc 2.72

Summary:
The uncorrected energy is -6.100 eV per atom. The calculation puts the mass density at 9.74 Mg/m³.

=====

(7)
A relaxed SrI crystal. Source: Alexandria via LeMat-Bulk, functional PBE.

Cell lengths 4.2083, 4.2108, 11.2569 Å; angles 90.00, 98.88, 90.00 degrees
Last column: nearest neighbours and their distance in Å.
Element x y z (fractional)
Sr 0.1864 0.2500 0.3478  4 I 3.43
Sr 0.8136 0.7500 0.6522  4 I 3.43
I 0.3771 0.2500 0.8063  4 Sr 3.43
I 0.6229 0.7500 0.1937  4 Sr 3.43

Summary:
The formation energy from raw total energies is -1.18 eV/atom. The uncorrected energy is -2.793 eV per atom. The calculation puts the mass density at 3.61 Mg/m³.

=====

(8)
A relaxed PrMgGa crystal. Source: Alexandria via LeMat-Bulk, functional PBE.

Cell lengths 4.8826, 4.8826, 4.8826 Å; angles 60.00, 60.00, 60.00 degrees
Last column: nearest neighbours and their distance in Å.
Element x y z (fractional)
Pr 0.0000 0.0000 0.0000  4 Ga 2.99
Mg 0.5000 0.5000 0.5000  4 Ga 2.99
Ga 0.7500 0.7500 0.7500  4 Pr 2.99, 4 Mg 2.99

Summary:
The value obtained for the energy above the lowest structure with this stoichiometry is 114.4 meV/atom. The uncorrected energy is -3.505 eV per atom. The calculation puts the mass density at 4.74 Mg/m³.

=====

(9)
A relaxed K2Hg crystal. Source: Alexandria via LeMat-Bulk, functional PBE.

Cell lengths 5.0735, 5.0735, 7.7562 Å; angles 109.06, 109.06, 59.84 degrees
Last column: nearest neighbours and their distance in Å.
Element x y z (fractional)
K 0.2427 0.2427 0.2293  3 Hg 3.51
K 0.7573 0.7573 0.7707  3 Hg 3.51
Hg 0.0000 0.0000 0.5000  6 K 3.51

Summary:
The value obtained for the energy above the lowest structure with this stoichiometry is 58.9 meV/atom. The uncorrected energy is -0.943 eV per atom. The calculation puts the mass density at 2.90 Mg/m³.

=====

(10)
A relaxed CsBaNiCl6 crystal. Source: Alexandria via LeMat-Bulk, functional PBE.

Cell lengths 6.7601, 6.9044, 6.9269 Å; angles 119.88, 114.81, 90.05 degrees
Last column: nearest neighbours and their distance in Å.
Element x y z (fractional)
Cs 0.0000 0.0000 0.0000  10 Cl 3.32-3.60
Ba 0.4594 0.4717 0.9429  10 Cl 3.27-3.53
Ni 0.2605 0.7461 0.4918  5 Cl 2.24-2.47
Cl 0.9999 0.5085 0.0167  1 Ni 2.52
Cl 0.0453 0.9964 0.5236  1 Ni 2.25
Cl 0.0457 0.5265 0.5232  1 Ni 2.25
Cl 0.4809 0.5012 0.4574  1 Ni 2.24
Cl 0.4807 0.9584 0.4588  1 Ni 2.24
Cl 0.4930 0.9799 0.9607  1 Ni 2.47

Summary:
The formation energy from raw total energies is -1.49 eV/atom. The uncorrected energy is -3.674 eV per atom. The calculation puts the mass density at 3.67 Mg/m³.

=====

(11)
A relaxed CaAlIn2 crystal. Source: Alexandria via LeMat-Bulk, functional PBE.

Cell lengths 3.3257, 5.0570, 6.0117 Å; angles 90.00, 90.08, 90.00 degrees
Last column: nearest neighbours and their distance in Å.
Element x y z (fractional)
Ca 0.0000 0.0000 0.0000  2 Ca 3.33, 8 In 3.35-3.52, 4 Al 3.35
Al 0.4993 0.5000 0.7619  4 In 2.86-3.15
In 0.4994 0.0000 0.5160  2 Al 2.93, 2 In 3.03
In 0.5016 0.5000 0.2377  2 Al 2.86-3.15, 2 In 3.03

Summary:
The uncorrected energy is -2.954 eV per atom. The calculation puts the mass density at 4.87 Mg/m³.

=====

(12)
A relaxed Ce2ZnFe crystal. Source: Alexandria via LeMat-Bulk, functional PBE.

Cell lengths 3.4059, 3.4059, 7.3276 Å; angles 90.00, 90.00, 90.00 degrees
Last column: nearest neighbours and their distance in Å.
Element x y z (fractional)
Ce 0.0000 0.0000 0.2214  4 Fe 2.90, 4 Zn 3.16, 1 Ce 3.24
Ce 0.0000 0.0000 0.7786  4 Fe 2.90, 4 Zn 3.16, 1 Ce 3.24
Zn 0.5000 0.5000 0.5000  8 Ce 3.16, 4 Zn 3.41
Fe 0.5000 0.5000 0.0000  8 Ce 2.90

Summary:
The value obtained for the energy above the lowest structure with this stoichiometry is 0.0 meV/atom. The uncorrected energy is -5.445 eV per atom. The calculation puts the mass density at 7.84 Mg/m³.

=====

(13)
A relaxed LaTmGeAu crystal. Source: Alexandria via LeMat-Bulk, functional PBE.

Cell lengths 5.1933, 5.1933, 5.1933 Å; angles 60.00, 60.00, 60.00 degrees
Last column: nearest neighbours and their distance in Å.
Element x y z (fractional)
La 0.0000 0.0000 0.0000  4 Au 3.18, 4 Ge 3.18
Tm 0.5000 0.5000 0.5000  4 Ge 3.18, 4 Au 3.18
Ge 0.2500 0.2500 0.2500  4 Tm 3.18, 4 La 3.18
Au 0.7500 0.7500 0.7500  4 Tm 3.18, 4 La 3.18

Summary:
The uncorrected energy is -5.052 eV per atom. The calculation puts the mass density at 9.68 Mg/m³.

=====

(14)
A relaxed OsC2 crystal. Source: Alexandria via LeMat-Bulk, functional PBE.

Cell lengths 2.8621, 2.8621, 13.1707 Å; angles 90.00, 90.00, 120.00 degrees
Last column: nearest neighbours and their distance in Å.
Element x y z (fractional)
Os 0.0000 0.0000 0.0000  6 C 2.14
Os 0.3333 0.6667 0.3486  4 C 1.91-2.09
Os 0.6667 0.3333 0.6514  4 C 1.91-2.09
C 0.0000 0.0000 0.4463  1 C 1.41
C 0.0000 0.0000 0.5537  1 C 1.41
C 0.3333 0.6667 0.1037  1 C 1.31
C 0.3333 0.6667 0.2034  1 C 1.31
C 0.6667 0.3333 0.7966  1 C 1.31
C 0.6667 0.3333 0.8963  1 C 1.31

Summary:
The value obtained for the energy above the lowest structure with this stoichiometry is 383.4 meV/atom. The uncorrected energy is -8.945 eV per atom. The calculation puts the mass density at 11.42 Mg/m³.

=====

(15)
A relaxed SmSnHg crystal. Source: Alexandria via LeMat-Bulk, functional PBE.

Cell lengths 6.3286, 6.3286, 6.3286 Å; angles 145.57, 145.57, 49.49 degrees
Last column: nearest neighbours and their distance in Å.
Element x y z (fractional)
Sm 0.0000 0.0000 0.0000  4 Hg 3.25, 5 Sn 3.39-3.63
Sn 0.6838 0.6838 0.0000  4 Hg 3.18, 4 Sm 3.39
Hg 0.3368 0.3368 0.0000  4 Sn 3.18, 4 Sm 3.25

Summary:
The uncorrected energy is -3.387 eV per atom. The calculation puts the mass density at 9.67 Mg/m³.

=====

(16)
A relaxed Pr2NF2 crystal. Source: Alexandria via LeMat-Bulk, functional PBE.

Cell lengths 3.6813, 3.6813, 8.3417 Å; angles 103.38, 103.38, 59.95 degrees
Last column: nearest neighbours and their distance in Å.
Element x y z (fractional)
Pr 0.1047 0.1047 0.3225  3 F 2.48, 3 N 2.56
Pr 0.8953 0.8953 0.6775  3 F 2.48, 3 N 2.56
N 0.5000 0.5000 0.5000  6 Pr 2.56
F 0.2842 0.2842 0.8373  3 Pr 2.48
F 0.7158 0.7158 0.1627  3 Pr 2.48

Summary:
The formation energy from raw total energies is -2.65 eV/atom. The uncorrected energy is -6.976 eV per atom. The calculation puts the mass density at 5.88 Mg/m³.

=====

(17)
A relaxed LiCuH crystal. Source: Alexandria via LeMat-Bulk, functional PBE.

Cell lengths 2.6546, 2.6546, 4.5276 Å; angles 90.00, 90.00, 120.00 degrees
Last column: nearest neighbours and their distance in Å.
Element x y z (fractional)
Li 0.0000 0.0000 0.0000  3 H 1.97
Cu 0.6667 0.3333 0.5117  3 H 1.87
H 0.3333 0.6667 0.2750  3 Cu 1.87, 3 Li 1.97

Summary:
The uncorrected energy is -3.176 eV per atom. The calculation puts the mass density at 4.30 Mg/m³.

=====

(18)
A relaxed Ce8AlIr2 crystal. Source: Alexandria via LeMat-Bulk, functional PBE.

Cell lengths 7.9297, 7.9297, 5.1913 Å; angles 97.93, 97.93, 116.38 degrees
Last column: nearest neighbours and their distance in Å.
Element x y z (fractional)
Ce 0.0731 0.2806 0.5644  2 Ce 2.80-2.86, 2 Ir 3.05-3.09
Ce 0.2468 0.7532 0.0000  2 Ir 2.72
Ce 0.2806 0.0731 0.5644  2 Ce 2.80-2.86, 2 Ir 3.05-3.09
Ce 0.4023 0.4023 0.1824  1 Ce 2.81, 2 Ir 3.07
Ce 0.5977 0.5977 0.8176  1 Ce 2.81, 2 Ir 3.07
Ce 0.7194 0.9269 0.4356  2 Ce 2.80-2.86, 2 Ir 3.05-3.09
Ce 0.7532 0.2468 0.0000  2 Ir 2.72
Ce 0.9269 0.7194 0.4356  2 Ce 2.80-2.86, 2 Ir 3.05-3.09
Al 0.0000 0.0000 0.0000  12 Ce 3.23-3.33
Ir 0.3074 0.6926 0.5000  2 Ce 2.72
Ir 0.6926 0.3074 0.5000  2 Ce 2.72

Summary:
The uncorrected energy is -6.559 eV per atom. The calculation puts the mass density at 9.02 Mg/m³.

=====

(19)
A relaxed AgSbH3 crystal. Source: Alexandria via LeMat-Bulk, functional PBE.

Cell lengths 4.0566, 4.0566, 4.0566 Å; angles 90.00, 90.00, 90.00 degrees
Last column: nearest neighbours and their distance in Å.
Element x y z (fractional)
Ag 0.0000 0.0000 0.0000  12 H 2.87
Sb 0.5000 0.5000 0.5000  6 H 2.03
H 0.0000 0.5000 0.5000  2 Sb 2.03
H 0.5000 0.0000 0.5000  2 Sb 2.03
H 0.5000 0.5000 0.0000  2 Sb 2.03

Summary:
The value obtained for the energy above the lowest structure with this stoichiometry is 0.0 meV/atom. The uncorrected energy is -2.722 eV per atom. The calculation puts the mass density at 5.79 Mg/m³.

=====

(20)
A relaxed DyCd6Hg12 crystal. Source: Alexandria via LeMat-Bulk, functional PBE.

Cell lengths 7.8826, 7.8826, 7.8826 Å; angles 92.67, 92.67, 92.67 degrees
Last column: nearest neighbours and their distance in Å.
Element x y z (fractional)
Dy 0.0000 0.0000 0.0000  6 Hg 3.10, 6 Cd 3.29
Cd 0.1319 0.2772 0.7304  9 Hg 3.08-3.44, 1 Dy 3.29
Cd 0.2696 0.8681 0.7228  9 Hg 3.08-3.44, 1 Dy 3.29
Cd 0.2772 0.7304 0.1319  9 Hg 3.08-3.44, 1 Dy 3.29
Cd 0.7228 0.2696 0.8681  9 Hg 3.08-3.44, 1 Dy 3.29
Cd 0.7304 0.1319 0.2772  9 Hg 3.08-3.44, 1 Dy 3.29
Cd 0.8681 0.7228 0.2696  9 Hg 3.08-3.44, 1 Dy 3.29
Hg 0.0366 0.3725 0.1451  4 Hg 3.03-3.39, 1 Dy 3.10, 4 Cd 3.24-3.33
Hg 0.1451 0.0366 0.3725  4 Hg 3.03-3.39, 1 Dy 3.10, 4 Cd 3.24-3.33
Hg 0.2006 0.5453 0.4672  4 Hg 3.03-3.28, 4 Cd 3.08-3.38
Hg 0.3725 0.1451 0.0366  4 Hg 3.03-3.39, 1 Dy 3.10, 4 Cd 3.24-3.33
Hg 0.4547 0.5328 0.7994  4 Hg 3.03-3.28, 4 Cd 3.08-3.38
Hg 0.4672 0.2006 0.5453  4 Hg 3.03-3.28, 4 Cd 3.08-3.38
Hg 0.5328 0.7994 0.4547  4 Hg 3.03-3.28, 4 Cd 3.08-3.38
Hg 0.5453 0.4672 0.2006  4 Hg 3.03-3.28, 4 Cd 3.08-3.38
Hg 0.6275 0.8549 0.9634  4 Hg 3.03-3.39, 1 Dy 3.10, 4 Cd 3.24-3.33
Hg 0.7994 0.4547 0.5328  4 Hg 3.03-3.28, 4 Cd 3.08-3.38
Hg 0.8549 0.9634 0.6275  4 Hg 3.03-3.39, 1 Dy 3.10, 4 Cd 3.24-3.33
Hg 0.9634 0.6275 0.8549  4 Hg 3.03-3.39, 1 Dy 3.10, 4 Cd 3.24-3.33

Summary:
The value obtained for the energy above the lowest structure with this stoichiometry is 4.8 meV/atom. The uncorrected energy is -0.763 eV per atom. The calculation puts the mass density at 11.04 Mg/m³.